No. 1
The following is a PBE calculation of an optimized crystal structure of Sn3Se2Cl2, from Alexandria.

a b c (Å): 16.2524 4.1358 6.4997
angles (deg): 90.00 102.32 90.00
Closest atoms and distances in Å follow each position.
Space group C2/m (No. 12)
Unique sites:
Sn 0.0000 0.0000 0.0000 (multiplicity 2)  4 Cl 2.85, 2 Se 3.02
Sn 0.2460 0.5000 0.2237 (multiplicity 4)  3 Se 2.79-2.87
Se 0.1538 0.0000 0.3561 (multiplicity 4)  4 Sn 2.79-3.02
Cl 0.0845 0.5000 0.8238 (multiplicity 4)  2 Sn 2.85

Output
The crystal system is monoclinic. The theoretical density is 4.6 g/cm3. The value obtained for the uncorrected formation energy is -651 meV/atom. The value obtained for the spin magnetization is 0.0 μB/cell. As for the excess energy over the best structure of this formula in the dataset: 4.4 meV/atom.

***

No. 2
The following is a PBE calculation of an optimized crystal structure of Hf2BeBiO, from Alexandria.

a b c (Å): 4.2493 4.2493 5.2656
angles (deg): 90.00 90.00 90.00
Closest atoms and distances in Å follow each position.
Space group P4/mmm (No. 123)
Unique sites:
Hf 0.0000 0.5000 0.0000 (multiplicity 2)  2 O 2.12
Be 0.0000 0.0000 0.5000 (multiplicity 1)  4 Bi 3.00
Bi 0.5000 0.5000 0.5000 (multiplicity 1)  2 O 2.63
O 0.5000 0.5000 0.0000 (multiplicity 1)  4 Hf 2.12

Output
The crystal system is tetragonal. The theoretical density is 10.3 g/cm3. The value obtained for the uncorrected formation energy is -376 meV/atom. The value obtained for the spin magnetization is 0.0 μB/cell.

***

No. 3
The following is a PBE calculation of an optimized crystal structure of AcTmZnSn, from Alexandria.

a b c (Å): 7.6578 7.6578 7.6578
angles (deg): 90.00 90.00 90.00
Closest atoms and distances in Å follow each position.
Space group F-43m (No. 216)
Unique sites:
Ac 0.0000 0.0000 0.0000 (multiplicity 4)  4 Zn 3.32, 4 Sn 3.32
Tm 0.0000 0.0000 0.5000 (multiplicity 4)  4 Sn 3.32, 4 Zn 3.32
Zn 0.2500 0.2500 0.2500 (multiplicity 4)  4 Tm 3.32, 4 Ac 3.32
Sn 0.2500 0.2500 0.7500 (multiplicity 4)  4 Ac 3.32, 4 Tm 3.32

Output
The crystal system is cubic. The theoretical density is 8.6 g/cm3. Its raw total energy is -15.5 eV/f.u. The value obtained for the spin magnetization is 0.0 μB/cell.

***

No. 4
The following is a PBE calculation of an optimized crystal structure of NbReI2O, from Alexandria.

a b c (Å): 5.8166 5.8166 3.9019
angles (deg): 90.00 90.00 90.00
Closest atoms and distances in Å follow each position.
Space group P4/mmm (No. 123)
Unique sites:
Nb 0.0000 0.0000 0.0000 (multiplicity 1)  2 O 1.95
Re 0.5000 0.5000 0.5000 (multiplicity 1)  8 I 3.50, 2 Re 3.90
I 0.0000 0.5000 0.0000 (multiplicity 2)  2 Nb 2.91
O 0.0000 0.0000 0.5000 (multiplicity 1)  2 Nb 1.95

Output
The crystal system is tetragonal. The theoretical density is 6.9 g/cm3. The value obtained for the uncorrected formation energy is 553 meV/atom. The value obtained for the spin magnetization is 6.3 μB/cell. As for the excess energy over the best structure of this formula in the dataset: 104.0 meV/atom.

***

No. 5
The following is a PBE calculation of an optimized crystal structure of CuNiAs2, from Alexandria.

a b c (Å): 4.3762 4.3762 3.0739
angles (deg): 90.00 90.00 90.00
Closest atoms and distances in Å follow each position.
Space group P4/mmm (No. 123)
Unique sites:
Cu 0.0000 0.0000 0.0000 (multiplicity 1)  8 As 2.67
Ni 0.5000 0.5000 0.0000 (multiplicity 1)  8 As 2.67
As 0.0000 0.5000 0.5000 (multiplicity 2)  4 Ni 2.67, 4 Cu 2.67

Output
The crystal system is tetragonal. The theoretical density is 7.7 g/cm3. Its raw total energy is -18.6 eV/f.u. The value obtained for the spin magnetization is 0.0 μB/cell.

***

No. 6
The following is a PBE calculation of an optimized crystal structure of MoPRh, from Alexandria.

a b c (Å): 2.8363 3.9340 7.6331
angles (deg): 90.00 90.00 90.00
Closest atoms and distances in Å follow each position.
Space group Imm2 (No. 44)
Unique sites:
Mo 0.0000 0.0000 0.0000 (multiplicity 2)  5 P 2.51-2.75, 5 Rh 2.62-2.70
P 0.0000 0.0000 0.3293 (multiplicity 2)  5 Rh 2.50-2.76, 5 Mo 2.51-2.75
Rh 0.0000 0.0000 0.6562 (multiplicity 2)  5 P 2.50-2.76, 5 Mo 2.62-2.70

Output
The crystal system is orthorhombic. The theoretical density is 9.0 g/cm3. Its raw total energy is -23.9 eV/f.u. The value obtained for the spin magnetization is 0.0 μB/cell.

***

No. 7
The following is a PBE calculation of an optimized crystal structure of KMnOs2, from Alexandria.

a b c (Å): 8.8462 2.8083 7.0764
angles (deg): 90.00 95.60 90.00
Closest atoms and distances in Å follow each position.
Space group Cm (No. 8)
Unique sites:
K 0.0000 0.0000 0.0000 (multiplicity 2)  2 K 2.81
Mn 0.2239 0.0000 0.6420 (multiplicity 2)  4 Os 2.51-2.62, 2 Mn 2.81
Os 0.0024 0.5000 0.4673 (multiplicity 2)  5 Os 2.53-2.81, 2 Mn 2.62
Os 0.2661 0.5000 0.3583 (multiplicity 2)  2 Mn 2.51, 5 Os 2.53-2.81

Output
The crystal system is monoclinic. The theoretical density is 9.0 g/cm3. The value obtained for the spin magnetization is 8.6 μB/cell. As for the excess energy over the best structure of this formula in the dataset: 106.1 meV/atom.

***

No. 8
The following is a PBE calculation of an optimized crystal structure of Ho3Mg2Hg4, from Alexandria.

a b c (Å): 11.0246 4.9225 9.1717
angles (deg): 90.00 119.64 90.00
Closest atoms and distances in Å follow each position.
Space group C2/m (No. 12)
Unique sites:
Ho 0.0000 0.0000 0.0000 (multiplicity 2)  8 Hg 3.25-3.47, 4 Mg 3.42, 2 Ho 3.45
Ho 0.1587 0.5000 0.6775 (multiplicity 4)  8 Hg 3.24-3.39, 4 Mg 3.28-3.34, 2 Ho 3.40-3.45
Mg 0.1279 0.5000 0.2982 (multiplicity 4)  3 Hg 2.78-2.80
Hg 0.0659 0.0000 0.3915 (multiplicity 4)  2 Mg 2.80, 1 Hg 2.99
Hg 0.2116 0.5000 0.0579 (multiplicity 4)  1 Mg 2.78, 2 Hg 2.96

Output
The crystal system is monoclinic. The theoretical density is 10.3 g/cm3. Its raw total energy is -21.4 eV/f.u. The value obtained for the spin magnetization is 0.0 μB/cell.